# 1
# Sm6GaHg2 PBE optimized geometry
data_Sm6GaHg2
_cell_length_a 10.012
_cell_length_b 10.255
_cell_length_c 10.406
_cell_angle_alpha 90.00
_cell_angle_beta 90.00
_cell_angle_gamma 90.00
_space_group_name_H-M_alt 'I m m m'
_space_group_IT_number 71
_space_group_name_Hall '-I 2 2'
loop_
_atom_site_label
_atom_site_fract_x
_atom_site_fract_y
_atom_site_fract_z
Sm1 0.000 0.173 0.239
Sm2 0.170 0.500 0.267
Sm3 0.243 0.307 0.000
Ga1 0.000 0.000 0.500
Ga2 0.000 0.500 0.000
Hg1 0.000 0.354 0.500
Hg2 0.143 0.000 0.000
# - Crystal system: orthorhombic
# - ΔE_f: -0.282 eV/atom
# - Size of the total moment: 0.00 μB/f.u.
# - E_tot: -137.9 eV/cell
# - Density of states at the Fermi level: 1.215 states/eV/atom

=====

# 2
# Tb12Ga6Pb PBE optimized geometry
data_Tb12Ga6Pb
_cell_length_a 10.144
_cell_length_b 10.144
_cell_length_c 10.144
_cell_angle_alpha 90.00
_cell_angle_beta 90.00
_cell_angle_gamma 90.00
_space_group_name_H-M_alt 'I m -3'
_space_group_IT_number 204
_space_group_name_Hall '-I 2 2 3'
loop_
_atom_site_label
_atom_site_fract_x
_atom_site_fract_y
_atom_site_fract_z
Tb1 0.000 0.296 0.189
Ga1 0.000 0.122 0.500
Pb1 0.000 0.000 0.000
# - Crystal system: cubic
# - ΔE_f: -0.399 eV/atom
# - Size of the total moment: 0.00 μB/f.u.
# - E_tot: -170.0 eV/cell
# - Density of states at the Fermi level: 0.878 states/eV/atom

=====

# 3
# Ag2IrSe PBE optimized geometry
data_Ag2IrSe
_cell_length_a 4.199
_cell_length_b 4.199
_cell_length_c 7.827
_cell_angle_alpha 90.00
_cell_angle_beta 90.00
_cell_angle_gamma 90.00
_space_group_name_H-M_alt 'I -4 m 2'
_space_group_IT_number 119
_space_group_name_Hall 'I -4 -2'
loop_
_atom_site_label
_atom_site_fract_x
_atom_site_fract_y
_atom_site_fract_z
Ag1 0.000 0.000 0.000
Ag2 0.000 0.500 0.250
Ir1 0.000 0.500 0.750
Se1 0.000 0.000 0.500
# - Crystal system: tetragonal
# - Formation energy from raw total energies: 485 meV/atom
# - Size of the total moment: 0.00 μB/f.u.
# - E_tot: -32.2 eV/cell
# - Density of states at the Fermi level: 0.955 states/eV/atom

=====

# 4
# Sn2BiSbSe5 PBE optimized geometry
data_Sn2BiSbSe5
_cell_length_a 4.146
_cell_length_b 17.810
_cell_length_c 15.002
_cell_angle_alpha 90.00
_cell_angle_beta 90.00
_cell_angle_gamma 90.00
_space_group_name_H-M_alt 'C m c 21'
_space_group_IT_number 36
loop_
_space_group_symop_operation_xyz
'x,y,z'
'-x,-y,z+1/2'
'-x,y,z'
'x,-y,z+1/2'
'x+1/2,y+1/2,z'
'-x+1/2,-y+1/2,z+1/2'
'-x+1/2,y+1/2,z'
'x+1/2,-y+1/2,z+1/2'
loop_
_atom_site_label
_atom_site_fract_x
_atom_site_fract_y
_atom_site_fract_z
Sn1 0.000 0.103 0.000
Sn2 0.000 0.125 0.618
Bi1 0.000 0.453 0.799
Sb1 0.000 0.224 0.383
Se1 0.000 0.065 0.431
Se2 0.000 0.269 0.017
Se3 0.000 0.301 0.752
Se4 0.000 0.382 0.370
Se5 0.000 0.486 0.116
# - Crystal system: orthorhombic
# - Formation energy from raw total energies: -295 meV/atom
# - Size of the total moment: 0.00 μB/f.u.
# - E_tot: -144.3 eV/cell
# - Density of states at the Fermi level: 0.107 states/eV/atom

=====

# 5
# Sr2MgPdO4 PBE optimized geometry
data_Sr2MgPdO4
_cell_length_a 6.074
_cell_length_b 6.074
_cell_length_c 6.496
_cell_angle_alpha 90.00
_cell_angle_beta 90.00
_cell_angle_gamma 90.00
_space_group_name_H-M_alt 'I -4'
_space_group_IT_number 82
loop_
_space_group_symop_operation_xyz
'x,y,z'
'y,-x,-z'
'-x,-y,z'
'-y,x,-z'
'x+1/2,y+1/2,z+1/2'
'y+1/2,-x+1/2,-z+1/2'
'-x+1/2,-y+1/2,z+1/2'
'-y+1/2,x+1/2,-z+1/2'
loop_
_atom_site_label
_atom_site_fract_x
_atom_site_fract_y
_atom_site_fract_z
Sr1 0.000 0.000 0.000
Sr2 0.000 0.500 0.250
Mg1 0.000 0.000 0.500
Pd1 0.000 0.500 0.750
O1 0.163 0.204 0.697
# - Crystal system: tetragonal
# - Formation energy from raw total energies: -2012 meV/atom
# - Size of the total moment: 0.00 μB/f.u.
# - E_tot: -92.2 eV/cell
# - Density of states at the Fermi level: 0.000 states/eV/atom

=====

# 6
# Mg3In3Ag PBE optimized geometry
data_Mg3In3Ag
_cell_length_a 8.140
_cell_length_b 9.323
_cell_length_c 8.904
_cell_angle_alpha 90.00
_cell_angle_beta 90.00
_cell_angle_gamma 90.00
_space_group_name_H-M_alt 'C m m m'
_space_group_IT_number 65
_space_group_name_Hall '-C 2 2'
loop_
_atom_site_label
_atom_site_fract_x
_atom_site_fract_y
_atom_site_fract_z
Mg1 0.000 0.219 0.000
Mg2 0.197 0.500 0.000
Mg3 0.199 0.500 0.500
In1 0.000 0.000 0.264
In2 0.250 0.250 0.256
Ag1 0.000 0.246 0.500
# - Crystal system: orthorhombic
# - ΔE_f: -0.005 eV/atom
# - Size of the total moment: 0.00 μB/f.u.
# - E_tot: -63.5 eV/cell
# - Density of states at the Fermi level: 0.354 states/eV/atom

=====

# 7
# Na2CIO PBE optimized geometry
data_Na2CIO
_cell_length_a 5.843
_cell_length_b 5.843
_cell_length_c 4.173
_cell_angle_alpha 90.00
_cell_angle_beta 90.00
_cell_angle_gamma 90.00
_space_group_name_H-M_alt 'P 4/m m m'
_space_group_IT_number 123
_space_group_name_Hall '-P 4 2'
loop_
_atom_site_label
_atom_site_fract_x
_atom_site_fract_y
_atom_site_fract_z
Na1 0.000 0.500 0.000
C1 0.000 0.000 0.500
I1 0.500 0.500 0.000
O1 0.500 0.500 0.500
# - Crystal system: tetragonal
# - Formation energy from raw total energies: 895 meV/atom
# - Size of the total moment: 3.00 μB/f.u.
# - E_tot: -13.9 eV/cell
# - Density of states at the Fermi level: 0.245 states/eV/atom

=====

# 8
# Zn2Sn2Bi PBE optimized geometry
data_Zn2Sn2Bi
_cell_length_a 3.955
_cell_length_b 3.955
_cell_length_c 15.936
_cell_angle_alpha 90.00
_cell_angle_beta 90.00
_cell_angle_gamma 90.00
_space_group_name_H-M_alt 'I 4/m m m'
_space_group_IT_number 139
_space_group_name_Hall '-I 4 2'
loop_
_atom_site_label
_atom_site_fract_x
_atom_site_fract_y
_atom_site_fract_z
Zn1 0.000 0.500 0.250
Sn1 0.000 0.000 0.113
Bi1 0.000 0.000 0.500
# - Crystal system: tetragonal
# - ΔE_f: 0.136 eV/atom
# - Size of the total moment: 0.00 μB/f.u.
# - E_tot: -27.5 eV/cell
# - Density of states at the Fermi level: 0.511 states/eV/atom
# - Polymorph energy (0 for the lowest one): 0.026 eV/atom

=====

# 9
# RbSr2PbF PBE optimized geometry
data_RbSr2PbF
_cell_length_a 6.382
_cell_length_b 6.382
_cell_length_c 7.168
_cell_angle_alpha 90.00
_cell_angle_beta 90.00
_cell_angle_gamma 90.00
_space_group_name_H-M_alt 'P 4/m m m'
_space_group_IT_number 123
_space_group_name_Hall '-P 4 2'
loop_
_atom_site_label
_atom_site_fract_x
_atom_site_fract_y
_atom_site_fract_z
Rb1 0.000 0.000 0.000
Sr1 0.000 0.500 0.500
Pb1 0.000 0.000 0.500
F1 0.500 0.500 0.000
# - Crystal system: tetragonal
# - Formation energy from raw total energies: -572 meV/atom
# - Size of the total moment: 0.00 μB/f.u.
# - E_tot: -12.8 eV/cell
# - Density of states at the Fermi level: 0.115 states/eV/atom

=====

# 10
# Sm4TlHg2Pd PBE optimized geometry
data_Sm4TlHg2Pd
_cell_length_a 5.3283
_cell_length_b 5.3283
_cell_length_c 25.9047
_cell_angle_alpha 90.00
_cell_angle_beta 90.00
_cell_angle_gamma 120.00
_space_group_name_H-M_alt 'R -3 m'
_space_group_IT_number 166
_space_group_name_Hall '-R 3 2"'
loop_
_atom_site_label
_atom_site_fract_x
_atom_site_fract_y
_atom_site_fract_z
Sm1 0.0000 0.0000 0.1164
Sm2 0.0000 0.0000 0.3687
Tl1 0.0000 0.0000 0.5000
Hg1 0.0000 0.0000 0.2433
Pd1 0.0000 0.0000 0.0000
# - Crystal system: trigonal
# - ΔE_f: -0.515 eV/atom
# - Size of the total moment: 0.00 μB/f.u.
# - E_tot: -93.5 eV/cell
# - Density of states at the Fermi level: 0.820 states/eV/atom

=====

# 11
# Er3Pu2Co4 PBE optimized geometry
data_Er3Pu2Co4
_cell_length_a 10.672
_cell_length_b 3.938
_cell_length_c 8.605
_cell_angle_alpha 90.00
_cell_angle_beta 100.97
_cell_angle_gamma 90.00
_space_group_name_H-M_alt 'C 1 2/m 1'
_space_group_IT_number 12
loop_
_space_group_symop_operation_xyz
'x,y,z'
'-x,-y,-z'
'-x,y,-z'
'x,-y,z'
'x+1/2,y+1/2,z'
'-x+1/2,-y+1/2,-z'
'-x+1/2,y+1/2,-z'
'x+1/2,-y+1/2,z'
loop_
_atom_site_label
_atom_site_fract_x
_atom_site_fract_y
_atom_site_fract_z
Er1 0.000 0.000 0.000
Er2 0.123 0.500 0.385
Pu1 0.177 0.500 0.783
Co1 0.086 0.000 0.620
Co2 0.209 0.500 0.086
# - Crystal system: monoclinic
# - ΔE_f: -0.159 eV/atom
# - Size of the total moment: 8.19 μB/f.u.
# - E_tot: -144.4 eV/cell
# - Density of states at the Fermi level: 1.693 states/eV/atom

=====

# 12
# Ho2Tm3In2 PBE optimized geometry
data_Ho2Tm3In2
_cell_length_a 4.918
_cell_length_b 23.151
_cell_length_c 3.413
_cell_angle_alpha 90.00
_cell_angle_beta 90.00
_cell_angle_gamma 90.00
_space_group_name_H-M_alt 'C m m m'
_space_group_IT_number 65
_space_group_name_Hall '-C 2 2'
loop_
_atom_site_label
_atom_site_fract_x
_atom_site_fract_y
_atom_site_fract_z
Ho1 0.000 0.214 0.000
Tm1 0.000 0.356 0.500
Tm2 0.000 0.500 0.500
In1 0.000 0.071 0.000
# - Crystal system: orthorhombic
# - ΔE_f: -0.143 eV/atom
# - Size of the total moment: 0.30 μB/f.u.
# - E_tot: -58.1 eV/cell
# - Density of states at the Fermi level: 0.825 states/eV/atom
# - Polymorph energy (0 for the lowest one): 0.114 eV/atom

=====

# 13
# CsGaSCl2 PBE optimized geometry
data_CsGaSCl2
_cell_length_a 5.317
_cell_length_b 5.317
_cell_length_c 4.662
_cell_angle_alpha 90.00
_cell_angle_beta 90.00
_cell_angle_gamma 90.00
_space_group_name_H-M_alt 'P 4/m m m'
_space_group_IT_number 123
_space_group_name_Hall '-P 4 2'
loop_
_atom_site_label
_atom_site_fract_x
_atom_site_fract_y
_atom_site_fract_z
Cs1 0.000 0.000 0.000
Ga1 0.500 0.500 0.500
S1 0.500 0.500 0.000
Cl1 0.000 0.500 0.500
# - Crystal system: tetragonal
# - Formation energy from raw total energies: -1023 meV/atom
# - Size of the total moment: 0.00 μB/f.u.
# - E_tot: -16.8 eV/cell
# - Density of states at the Fermi level: 0.683 states/eV/atom
# - Polymorph energy (0 for the lowest one): 0.000 eV/atom

=====

# 14
# Al2GaFeCl PBE optimized geometry
data_Al2GaFeCl
_cell_length_a 4.864
_cell_length_b 4.864
_cell_length_c 5.076
_cell_angle_alpha 90.00
_cell_angle_beta 90.00
_cell_angle_gamma 90.00
_space_group_name_H-M_alt 'P 4/m m m'
_space_group_IT_number 123
_space_group_name_Hall '-P 4 2'
loop_
_atom_site_label
_atom_site_fract_x
_atom_site_fract_y
_atom_site_fract_z
Al1 0.000 0.500 0.000
Ga1 0.000 0.000 0.500
Fe1 0.500 0.500 0.500
Cl1 0.000 0.000 0.000
# - Crystal system: tetragonal
# - Formation energy from raw total energies: 1233 meV/atom
# - Size of the total moment: 0.06 μB/f.u.
# - E_tot: -14.7 eV/cell
# - Density of states at the Fermi level: 0.742 states/eV/atom

=====

# 15
# TmSc6Sn PBE optimized geometry
data_TmSc6Sn
_cell_length_a 8.144
_cell_length_b 6.377
_cell_length_c 8.466
_cell_angle_alpha 90.00
_cell_angle_beta 102.82
_cell_angle_gamma 90.00
_space_group_name_H-M_alt 'C 1 2/m 1'
_space_group_IT_number 12
loop_
_space_group_symop_operation_xyz
'x,y,z'
'-x,-y,-z'
'-x,y,-z'
'x,-y,z'
'x+1/2,y+1/2,z'
'-x+1/2,-y+1/2,-z'
'-x+1/2,y+1/2,-z'
'x+1/2,-y+1/2,z'
loop_
_atom_site_label
_atom_site_fract_x
_atom_site_fract_y
_atom_site_fract_z
Tm1 0.000 0.000 0.000
Sc1 0.129 0.500 0.928
Sc2 0.215 0.260 0.301
Sn1 0.000 0.500 0.500
# - Crystal system: monoclinic
# - ΔE_f: 0.098 eV/atom
# - Size of the total moment: 0.00 μB/f.u.
# - E_tot: -91.4 eV/cell
# - Density of states at the Fermi level: 1.485 states/eV/atom
# - Polymorph energy (0 for the lowest one): 0.209 eV/atom

=====

# 16
# SnAs2 PBE optimized geometry
data_SnAs2
_cell_length_a 5.404
_cell_length_b 5.442
_cell_length_c 6.008
_cell_angle_alpha 90.00
_cell_angle_beta 115.65
_cell_angle_gamma 90.00
_space_group_name_H-M_alt 'C 1 2/m 1'
_space_group_IT_number 12
loop_
_space_group_symop_operation_xyz
'x,y,z'
'-x,-y,-z'
'-x,y,-z'
'x,-y,z'
'x+1/2,y+1/2,z'
'-x+1/2,-y+1/2,-z'
'-x+1/2,y+1/2,-z'
'x+1/2,-y+1/2,z'
loop_
_atom_site_label
_atom_site_fract_x
_atom_site_fract_y
_atom_site_fract_z
Sn1 0.000 0.000 0.000
As1 0.110 0.500 0.230
# - Crystal system: monoclinic
# - ΔE_f: 0.237 eV/atom
# - Size of the total moment: 0.00 μB/f.u.
# - E_tot: -25.2 eV/cell
# - Density of states at the Fermi level: 0.445 states/eV/atom

=====

# 17
# Si2WI PBE optimized geometry
data_Si2WI
_cell_length_a 6.200
_cell_length_b 6.200
_cell_length_c 11.896
_cell_angle_alpha 90.00
_cell_angle_beta 90.00
_cell_angle_gamma 90.00
_space_group_name_H-M_alt 'I -4 2 d'
_space_group_IT_number 122
_space_group_name_Hall 'I -4 2bw'
loop_
_atom_site_label
_atom_site_fract_x
_atom_site_fract_y
_atom_site_fract_z
Si1 0.168 0.250 0.125
W1 0.000 0.000 0.000
I1 0.000 0.000 0.500
# - Crystal system: tetragonal
# - Formation energy from raw total energies: 1017 meV/atom
# - Size of the total moment: 0.00 μB/f.u.
# - E_tot: -85.1 eV/cell
# - Density of states at the Fermi level: 0.984 states/eV/atom
# - Polymorph energy (0 for the lowest one): 0.000 eV/atom

=====

# 18
# Ac2PRuPt PBE optimized geometry
data_Ac2PRuPt
_cell_length_a 4.206
_cell_length_b 4.206
_cell_length_c 14.813
_cell_angle_alpha 90.00
_cell_angle_beta 90.00
_cell_angle_gamma 90.00
_space_group_name_H-M_alt 'P 4/n m m'
_space_group_IT_number 129
loop_
_space_group_symop_operation_xyz
'x,y,z'
'-x,-y,-z'
'-y+1/2,x,z'
'y+1/2,-x,-z'
'-x+1/2,-y+1/2,z'
'x+1/2,y+1/2,-z'
'y,-x+1/2,z'
'-y,x+1/2,-z'
'x+1/2,-y,-z'
'-x+1/2,y,z'
'-y,-x,-z'
'y,x,z'
'-x,y+1/2,-z'
'x,-y+1/2,z'
'y+1/2,x+1/2,-z'
'-y+1/2,-x+1/2,z'
loop_
_atom_site_label
_atom_site_fract_x
_atom_site_fract_y
_atom_site_fract_z
Ac1 0.250 0.250 0.099
Ac2 0.250 0.250 0.671
P1 0.250 0.250 0.420
Ru1 0.250 0.750 0.500
Pt1 0.250 0.250 0.886
# - Crystal system: tetragonal
# - ΔE_f: -1.002 eV/atom
# - Size of the total moment: 0.00 μB/f.u.
# - E_tot: -67.9 eV/cell
# - Density of states at the Fermi level: 0.612 states/eV/atom

=====

# 19
# ZrNiIr PBE optimized geometry
data_ZrNiIr
_cell_length_a 4.916
_cell_length_b 5.311
_cell_length_c 7.170
_cell_angle_alpha 90.00
_cell_angle_beta 90.00
_cell_angle_gamma 90.00
_space_group_name_H-M_alt 'I m m a'
_space_group_IT_number 74
_space_group_name_Hall '-I 2b 2'
loop_
_atom_site_label
_atom_site_fract_x
_atom_site_fract_y
_atom_site_fract_z
Zr1 0.000 0.250 0.121
Ni1 0.250 0.250 0.750
Ir1 0.000 0.000 0.500
# - Crystal system: orthorhombic
# - ΔE_f: -0.629 eV/atom
# - Size of the total moment: 0.00 μB/f.u.
# - E_tot: -100.3 eV/cell
# - Density of states at the Fermi level: 1.118 states/eV/atom

=====

# 20
# KIr2Cl PBE optimized geometry
data_KIr2Cl
_cell_length_a 2.841
_cell_length_b 2.841
_cell_length_c 9.163
_cell_angle_alpha 90.00
_cell_angle_beta 90.00
_cell_angle_gamma 90.00
_space_group_name_H-M_alt 'P 4/m m m'
_space_group_IT_number 123
_space_group_name_Hall '-P 4 2'
loop_
_atom_site_label
_atom_site_fract_x
_atom_site_fract_y
_atom_site_fract_z
K1 0.000 0.000 0.000
Ir1 0.500 0.500 0.298
Cl1 0.000 0.000 0.500
# - Crystal system: tetragonal
# - Formation energy from raw total energies: 1133 meV/atom
# - Size of the total moment: 0.00 μB/f.u.
# - E_tot: -16.1 eV/cell
# - Density of states at the Fermi level: 0.852 states/eV/atom
# - Polymorph energy (0 for the lowest one): 1.087 eV/atom